No. 1
VASP calculation (PBE) on crystalline Y5Sb4Pb at its relaxed geometry.

Energy relative to the elements, uncorrected (eV per atom): -1.0002

Cell: 4.403 4.403 15.881 Å, 97.97 97.97 90.00°
Fractional coordinates of all 10 atoms:
Y: 0.102 0.102 0.203
Y: 0.500 0.500 0.000
Y: 0.898 0.898 0.797
Y: 0.300 0.300 0.600
Y: 0.700 0.700 0.400
Sb: 0.400 0.400 0.800
Sb: 0.799 0.799 0.599
Sb: 0.201 0.201 0.401
Sb: 0.600 0.600 0.200
Pb: 0.000 0.000 0.000

---

No. 2
VASP calculation (PBE) on crystalline Pr7Ho4In at its relaxed geometry.

Energy relative to the elements (eV per formula unit): 0.45

Cell: 6.512 8.665 12.312 Å, 64.94 68.87 41.23°
Fractional coordinates of all 12 atoms:
Pr: 0.737 0.547 0.906
Pr: 0.263 0.453 0.094
Pr: 0.119 0.140 0.722
Pr: 0.881 0.860 0.278
Pr: 0.363 0.792 0.417
Pr: 0.500 0.000 0.000
Pr: 0.637 0.208 0.583
Ho: 0.729 0.384 0.232
Ho: 0.271 0.616 0.768
Ho: 0.811 0.707 0.587
Ho: 0.189 0.293 0.413
In: 0.000 0.000 0.000

---

| no. | VASP energy (eV per formula unit) | DOS at the Fermi energy (states/eV/cell) | density (g/cm³) |
| --- | --- | --- | --- |
| 1 | -62.5 | 4.06 | 6.26 |
| 2 | -54.1 | 18.37 | 7.07 |